[1]
The following is a GGA-PBE calculation of a relaxed structure of YNiIr2, from Alexandria via LeMat-Bulk.

POSCAR file:
```
YNiIr2
1.0
4.631 -1.474 0.000
4.631 1.474 0.000
-1.098 0.000 4.794
Y Ni Ir
1 1 2
Direct
0.000 0.000 0.000
0.500 0.500 0.500
0.238 0.238 0.713
0.762 0.762 0.287
```

Energy above the lowest structure with this stoichiometry in eV/atom: 0.2463
Volume in Å³ per cell: 65.45

=====

[2]
The following is a GGA-PBE calculation of a relaxed structure of YNiIr2, from Alexandria via LeMat-Bulk.

POSCAR file:
```
YNiIr2
1.0
-2.016 2.016 4.003
2.016 -2.016 4.003
2.016 2.016 -4.003
Y Ni Ir
1 1 2
Direct
0.000 0.000 0.000
0.250 0.750 0.500
0.500 0.500 0.000
0.750 0.250 0.500
```

Energy above the lowest structure with this stoichiometry in eV/atom: 0.2396
Volume in Å³ per cell: 65.08

=====

[3]
The following is a GGA-PBE calculation of a relaxed structure of YNi2Ir, from Alexandria via LeMat-Bulk.

POSCAR file:
```
YNi2Ir
1.0
2.095 1.209 4.518
-2.095 1.209 4.518
0.000 -2.419 4.518
Y Ni Ir
1 2 1
Direct
0.000 0.000 0.000
0.197 0.197 0.197
0.803 0.803 0.803
0.500 0.500 0.500
```

Energy above the lowest structure with this stoichiometry in eV/atom: 0.0000
Volume in Å³ per cell: 68.66

=====

[4]
The following is a GGA-PBE calculation of a relaxed structure of Y2NiIr, from Alexandria via LeMat-Bulk.

POSCAR file:
```
Y2NiIr
1.0
3.942 0.000 0.000
0.000 3.942 0.000
0.000 0.000 5.691
Y Ni Ir
2 1 1
Direct
0.000 0.000 0.000
0.500 0.500 0.420
0.500 0.500 0.911
0.000 0.000 0.503
```

Energy above the lowest structure with this stoichiometry in eV/atom: 0.3142
Volume in Å³ per cell: 88.45

=====

[5]
The following is a GGA-PBE calculation of a relaxed structure of Y2Ni3Ir, from Alexandria via LeMat-Bulk.

POSCAR file:
```
Y2Ni3Ir
1.0
2.547 1.470 4.324
-2.547 1.470 4.324
0.000 -2.940 4.324
Y Ni Ir
2 3 1
Direct
0.124 0.124 0.124
0.876 0.876 0.876
0.000 0.500 0.500
0.500 0.000 0.500
0.500 0.500 0.000
0.500 0.500 0.500
```

Total DFT energy (no corrections) in eV for the cell shown: -42.42
Volume in Å³ per cell: 97.13

=====

[6]
The following is a GGA-PBE calculation of a relaxed structure of YNiIr2, from Alexandria via LeMat-Bulk.

POSCAR file:
```
YNiIr2
1.0
0.000 3.210 3.210
3.210 0.000 3.210
3.210 3.210 0.000
Y Ni Ir
1 1 2
Direct
0.000 0.000 0.000
0.750 0.750 0.750
0.250 0.250 0.250
0.500 0.500 0.500
```

Energy above the lowest structure with this stoichiometry in eV/atom: 0.3695
Volume in Å³ per cell: 66.17

=====

[7]
The following is a GGA-PBE calculation of a relaxed structure of YNiIr2, from Alexandria via LeMat-Bulk.

POSCAR file:
```
YNiIr2
1.0
2.860 -3.715 0.000
2.860 3.715 0.000
0.000 0.000 3.078
Y Ni Ir
1 1 2
Direct
0.000 0.000 0.000
0.500 0.500 0.000
0.000 0.500 0.500
0.500 0.000 0.500
```

Energy above the lowest structure with this stoichiometry in eV/atom: 0.3117
Volume in Å³ per cell: 65.43

=====

[8]
The following is a GGA-PBE calculation of a relaxed structure of Y8Ni2Ir, from Alexandria via LeMat-Bulk.

POSCAR file:
```
Y8Ni2Ir
1.0
4.133 -6.221 0.000
4.133 6.221 0.000
-1.955 0.000 5.731
Y Ni Ir
8 2 1
Direct
0.000 0.000 0.000
0.019 0.281 0.570
0.144 0.569 0.179
0.281 0.019 0.570
0.436 0.698 0.772
0.569 0.144 0.179
0.698 0.436 0.772
0.716 0.716 0.361
0.049 0.673 0.681
0.673 0.049 0.681
0.356 0.356 0.356
```

Total DFT energy (no corrections) in eV for the cell shown: -74.63
Volume in Å³ per cell: 294.71

=====

Question: volume of number 5 (Y2Ni3Ir)?
Answer: 97.13 Å³ per cell

=====

Question: Among the records above, which one has the highest volume?
Answer: Y8Ni2Ir

=====

Question: The lowest volume belongs to which entry?
Answer: number 2

=====

What did the seventh record say?
The following is a GGA-PBE calculation of a relaxed structure of YNiIr2, from Alexandria via LeMat-Bulk.

POSCAR file:
```
YNiIr2
1.0
2.860 -3.715 0.000
2.860 3.715 0.000
0.000 0.000 3.078
Y Ni Ir
1 1 2
Direct
0.000 0.000 0.000
0.500 0.500 0.000
0.000 0.500 0.500
0.500 0.000 0.500
```

Energy above the lowest structure with this stoichiometry in eV/atom: 0.3117
Volume in Å³ per cell: 65.43